Record 1
# Ac2TbY GGA-PBE optimized geometry
# Magnetization ... 0.00 μB per formula unit
# Energy above the lowest structure with this stoichiometry ... 0.0227 eV/atom
data_Ac2TbY
_chemical_formula_sum 'Ac6 Tb3 Y3'
_space_group_name_H-M_alt 'R 3 m'
_space_group_IT_number 160
_space_group_name_Hall 'R 3 -2"'
_cell_length_a 3.8090
_cell_length_b 3.8090
_cell_length_c 36.3321
_cell_angle_alpha 90.00
_cell_angle_beta 90.00
_cell_angle_gamma 120.00
loop_
_atom_site_label
_atom_site_type_symbol
_atom_site_fract_x
_atom_site_fract_y
_atom_site_fract_z
_atom_site_occupancy
Ac1 Ac 0.0000 0.0000 0.0000 1
Ac2 Ac 0.0000 0.0000 0.1666 1
Tb1 Tb 0.0000 0.0000 0.5845 1
Y1 Y 0.0000 0.0000 0.4160 1

Record 2
# AcTb3Y3 GGA-PBE optimized geometry
# Magnetization ... 0.00 μB per formula unit
# Energy above the lowest structure with this stoichiometry ... 0.1019 eV/atom
data_AcTb3Y3
_chemical_formula_sum 'Ac8 Tb24 Y24'
_space_group_name_H-M_alt 'C 1 m 1'
_space_group_IT_number 8
_space_group_name_Hall 'C -2y'
_cell_length_a 13.666
_cell_length_b 22.343
_cell_length_c 6.783
_cell_angle_alpha 90.00
_cell_angle_beta 109.33
_cell_angle_gamma 90.00
loop_
_atom_site_label
_atom_site_type_symbol
_atom_site_fract_x
_atom_site_fract_y
_atom_site_fract_z
_atom_site_occupancy
Ac1 Ac 0.000 0.000 0.000 1
Ac2 Ac 0.186 0.000 0.580 1
Ac3 Ac 0.407 0.407 0.393 1
Tb1 Tb 0.107 0.366 0.454 1
Tb2 Tb 0.265 0.265 0.191 1
Tb3 Tb 0.288 0.000 0.132 1
Tb4 Tb 0.356 0.356 0.844 1
Tb5 Tb 0.398 0.129 0.981 1
Tb6 Tb 0.471 0.000 0.662 1
Tb7 Tb 0.495 0.236 0.712 1
Y1 Y 0.023 0.227 0.223 1
Y2 Y 0.047 0.500 0.215 1
Y3 Y 0.130 0.130 0.947 1
Y4 Y 0.147 0.398 0.973 1
Y5 Y 0.226 0.227 0.669 1
Y6 Y 0.241 0.500 0.688 1
Y7 Y 0.329 0.125 0.427 1

no.,DFT formation energy (eV/atom)
1,0.064
2,0.132